{
  "formula": "Sc5Ni3",
  "functional": "PBE",
  "state": "optimized geometry",
  "spacegroup": "P6_3/mcm",
  "vol_a3_per_cell": 290,
  "magmom_total_mub_per_cell": 0.00,
  "crystal_system": "hexagonal",
  "formation_enthalpy_0k_ev_per_atom": -0.363,
  "lattice_angstrom": [[7.750, 0.000, 0.000], [-3.875, 6.712, 0.000], [0.000, 0.000, 5.577]],
  "species": ["Sc", "Sc", "Sc", "Sc", "Sc", "Sc", "Sc", "Sc", "Sc", "Sc", "Ni", "Ni", "Ni", "Ni", "Ni", "Ni"],
  "fractional_positions": [[0.000, 0.243, 0.250], [0.000, 0.757, 0.750], [0.243, 0.000, 0.250], [0.243, 0.243, 0.750], [0.333, 0.667, 0.000], [0.333, 0.667, 0.500], [0.667, 0.333, 0.000], [0.667, 0.333, 0.500], [0.757, 0.000, 0.750], [0.757, 0.757, 0.250], [0.000, 0.402, 0.750], [0.000, 0.598, 0.250], [0.402, 0.000, 0.750], [0.402, 0.402, 0.250], [0.598, 0.000, 0.250], [0.598, 0.598, 0.750]]
}

---

{
  "formula": "ScNi3",
  "functional": "PBE",
  "state": "optimized geometry",
  "spacegroup": "P6_3/mmc",
  "vol_a3_per_cell": 103,
  "magmom_total_mub_per_cell": 0.80,
  "crystal_system": "hexagonal",
  "formation_enthalpy_0k_ev_per_atom": -0.387,
  "lattice_angstrom": [[5.315, 0.000, 0.000], [-2.657, 4.603, 0.000], [0.000, 0.000, 4.229]],
  "species": ["Sc", "Sc", "Ni", "Ni", "Ni", "Ni", "Ni", "Ni"],
  "fractional_positions": [[0.333, 0.667, 0.250], [0.667, 0.333, 0.750], [0.156, 0.313, 0.750], [0.156, 0.844, 0.750], [0.313, 0.156, 0.250], [0.687, 0.844, 0.750], [0.844, 0.156, 0.250], [0.844, 0.687, 0.250]]
}

---

{
  "formula": "ScNi2",
  "functional": "PBE",
  "state": "optimized geometry",
  "spacegroup": "Fd-3m",
  "vol_a3_per_cell": 83,
  "magmom_total_mub_per_cell": 0.00,
  "crystal_system": "cubic",
  "formation_enthalpy_0k_ev_per_atom": -0.522,
  "lattice_angstrom": [[0.000, 3.456, 3.456], [3.456, 0.000, 3.456], [3.456, 3.456, 0.000]],
  "species": ["Sc", "Sc", "Ni", "Ni", "Ni", "Ni"],
  "fractional_positions": [[0.125, 0.125, 0.125], [0.875, 0.875, 0.875], [0.000, 0.500, 0.500], [0.500, 0.000, 0.500], [0.500, 0.500, 0.000], [0.500, 0.500, 0.500]]
}

---

{
  "formula": "Sc4Ni",
  "functional": "PBE",
  "state": "optimized geometry",
  "spacegroup": "Im-3m",
  "vol_a3_per_cell": 234,
  "magmom_total_mub_per_cell": 0.00,
  "crystal_system": "cubic",
  "formation_enthalpy_0k_ev_per_atom": 0.217,
  "lattice_angstrom": [[6.166, 0.000, 0.000], [0.000, 6.166, 0.000], [0.000, 0.000, 6.166]],
  "species": ["Sc", "Sc", "Sc", "Sc", "Sc", "Sc", "Sc", "Sc", "Ni", "Ni"],
  "fractional_positions": [[0.250, 0.250, 0.250], [0.250, 0.250, 0.750], [0.250, 0.750, 0.250], [0.250, 0.750, 0.750], [0.750, 0.250, 0.250], [0.750, 0.250, 0.750], [0.750, 0.750, 0.250], [0.750, 0.750, 0.750], [0.000, 0.000, 0.000], [0.500, 0.500, 0.500]]
}

---

{
  "formula": "Sc6Ni23",
  "functional": "PBE",
  "state": "optimized geometry",
  "spacegroup": "Fm-3m",
  "vol_a3_per_cell": 378,
  "magmom_total_mub_per_cell": 4.12,
  "crystal_system": "cubic",
  "formation_enthalpy_0k_ev_per_atom": -0.347,
  "lattice_angstrom": [[0.000, 5.737, 5.737], [5.737, 0.000, 5.737], [5.737, 5.737, 0.000]],
  "species": ["Sc", "Sc", "Sc", "Sc", "Sc", "Sc", "Ni", "Ni", "Ni", "Ni", "Ni", "Ni", "Ni", "Ni", "Ni", "Ni", "Ni", "Ni", "Ni", "Ni", "Ni", "Ni", "Ni", "Ni", "Ni", "Ni", "Ni", "Ni", "Ni"],
  "fractional_positions": [[0.216, 0.216, 0.784], [0.216, 0.784, 0.216], [0.216, 0.784, 0.784], [0.784, 0.216, 0.216], [0.784, 0.216, 0.784], [0.784, 0.784, 0.216], [0.000, 0.000, 0.500], [0.000, 0.500, 0.000], [0.000, 0.500, 0.500], [0.139, 0.620, 0.620], [0.172, 0.172, 0.172], [0.172, 0.172, 0.484], [0.172, 0.484, 0.172], [0.380, 0.380, 0.380], [0.380, 0.380, 0.861], [0.380, 0.861, 0.380], [0.484, 0.172, 0.172], [0.500, 0.000, 0.000], [0.500, 0.000, 0.500], [0.500, 0.500, 0.000], [0.500, 0.500, 0.500], [0.516, 0.828, 0.828], [0.620, 0.139, 0.620], [0.620, 0.620, 0.139], [0.620, 0.620, 0.620], [0.828, 0.516, 0.828], [0.828, 0.828, 0.516], [0.828, 0.828, 0.828], [0.861, 0.380, 0.380]]
}

---

{
  "formula": "ScNi4",
  "functional": "PBE",
  "state": "optimized geometry",
  "spacegroup": "Im-3m",
  "vol_a3_per_cell": 160,
  "magmom_total_mub_per_cell": 1.38,
  "crystal_system": "cubic",
  "formation_enthalpy_0k_ev_per_atom": 0.851,
  "lattice_angstrom": [[5.424, 0.000, 0.000], [0.000, 5.424, 0.000], [0.000, 0.000, 5.424]],
  "species": ["Sc", "Sc", "Ni", "Ni", "Ni", "Ni", "Ni", "Ni", "Ni", "Ni"],
  "fractional_positions": [[0.000, 0.000, 0.000], [0.500, 0.500, 0.500], [0.250, 0.250, 0.250], [0.250, 0.250, 0.750], [0.250, 0.750, 0.250], [0.250, 0.750, 0.750], [0.750, 0.250, 0.250], [0.750, 0.250, 0.750], [0.750, 0.750, 0.250], [0.750, 0.750, 0.750]]
}

---

{
  "formula": "Sc3Ni",
  "functional": "PBE",
  "state": "optimized geometry",
  "spacegroup": "P6_3/mmc",
  "vol_a3_per_cell": 315,
  "magmom_total_mub_per_cell": 0.00,
  "crystal_system": "hexagonal",
  "formation_enthalpy_0k_ev_per_atom": -0.049,
  "lattice_angstrom": [[6.160, 0.000, 0.000], [-3.080, 5.335, 0.000], [0.000, 0.000, 9.574]],
  "species": ["Sc", "Sc", "Sc", "Sc", "Sc", "Sc", "Sc", "Sc", "Sc", "Sc", "Sc", "Sc", "Ni", "Ni", "Ni", "Ni"],
  "fractional_positions": [[0.000, 0.500, 0.000], [0.000, 0.500, 0.500], [0.158, 0.316, 0.250], [0.158, 0.842, 0.250], [0.316, 0.158, 0.750], [0.500, 0.000, 0.000], [0.500, 0.000, 0.500], [0.500, 0.500, 0.000], [0.500, 0.500, 0.500], [0.684, 0.842, 0.250], [0.842, 0.158, 0.750], [0.842, 0.684, 0.750], [0.000, 0.000, 0.000], [0.000, 0.000, 0.500], [0.333, 0.667, 0.750], [0.667, 0.333, 0.250]]
}

---

{
  "formula": "ScNi5",
  "functional": "PBE",
  "state": "optimized geometry",
  "spacegroup": "P-62m",
  "vol_a3_per_cell": 77,
  "magmom_total_mub_per_cell": 1.62,
  "crystal_system": "hexagonal",
  "formation_enthalpy_0k_ev_per_atom": -0.280,
  "lattice_angstrom": [[4.748, 0.000, 0.000], [-2.374, 4.112, 0.000], [0.000, 0.000, 3.964]],
  "species": ["Sc", "Ni", "Ni", "Ni", "Ni", "Ni"],
  "fractional_positions": [[0.000, 0.000, 0.000], [0.000, 0.506, 0.500], [0.333, 0.667, 0.000], [0.494, 0.494, 0.500], [0.506, 0.000, 0.500], [0.667, 0.333, 0.000]]
}

---

{
  "formula": "ScNi3",
  "functional": "PBE",
  "state": "optimized geometry",
  "spacegroup": "Pm-3m",
  "vol_a3_per_cell": 51,
  "magmom_total_mub_per_cell": 0.66,
  "crystal_system": "cubic",
  "formation_enthalpy_0k_ev_per_atom": -0.397,
  "lattice_angstrom": [[3.712, 0.000, 0.000], [0.000, 3.712, 0.000], [0.000, 0.000, 3.712]],
  "species": ["Sc", "Ni", "Ni", "Ni"],
  "fractional_positions": [[0.000, 0.000, 0.000], [0.000, 0.500, 0.500], [0.500, 0.000, 0.500], [0.500, 0.500, 0.000]]
}

---

{
  "formula": "ScNi3",
  "functional": "PBE",
  "state": "optimized geometry",
  "spacegroup": "Pm-3n",
  "vol_a3_per_cell": 106,
  "magmom_total_mub_per_cell": 0.06,
  "crystal_system": "cubic",
  "formation_enthalpy_0k_ev_per_atom": -0.217,
  "lattice_angstrom": [[4.729, 0.000, 0.000], [0.000, 4.729, 0.000], [0.000, 0.000, 4.729]],
  "species": ["Sc", "Sc", "Ni", "Ni", "Ni", "Ni", "Ni", "Ni"],
  "fractional_positions": [[0.000, 0.000, 0.000], [0.500, 0.500, 0.500], [0.000, 0.250, 0.500], [0.000, 0.750, 0.500], [0.250, 0.500, 0.000], [0.500, 0.000, 0.250], [0.500, 0.000, 0.750], [0.750, 0.500, 0.000]]
}

---

{
  "formula": "ScNi2",
  "functional": "PBE",
  "state": "optimized geometry",
  "spacegroup": "C2/m",
  "vol_a3_per_cell": 166,
  "magmom_total_mub_per_cell": 0.00,
  "crystal_system": "monoclinic",
  "formation_enthalpy_0k_ev_per_atom": -0.398,
  "lattice_angstrom": [[8.350, 0.000, 0.000], [0.000, 3.919, 0.000], [-1.353, 0.000, 5.068]],
  "species": ["Sc", "Sc", "Sc", "Sc", "Ni", "Ni", "Ni", "Ni", "Ni", "Ni", "Ni", "Ni"],
  "fractional_positions": [[0.142, 0.000, 0.302], [0.358, 0.500, 0.698], [0.642, 0.500, 0.302], [0.858, 0.000, 0.698], [0.000, 0.500, 0.000], [0.000, 0.500, 0.500], [0.179, 0.000, 0.831], [0.321, 0.500, 0.169], [0.500, 0.000, 0.000], [0.500, 0.000, 0.500], [0.679, 0.500, 0.831], [0.821, 0.000, 0.169]]
}

---

{
  "formula": "Sc3Ni",
  "functional": "PBE",
  "state": "optimized geometry",
  "spacegroup": "I4/mmm",
  "vol_a3_per_cell": 158,
  "magmom_total_mub_per_cell": 0.00,
  "crystal_system": "tetragonal",
  "formation_enthalpy_0k_ev_per_atom": 0.018,
  "lattice_angstrom": [[4.024, 0.000, 0.000], [0.000, 4.024, 0.000], [0.000, 0.000, 9.778]],
  "species": ["Sc", "Sc", "Sc", "Sc", "Sc", "Sc", "Ni", "Ni"],
  "fractional_positions": [[0.000, 0.000, 0.000], [0.000, 0.500, 0.250], [0.000, 0.500, 0.750], [0.500, 0.000, 0.250], [0.500, 0.000, 0.750], [0.500, 0.500, 0.500], [0.000, 0.000, 0.500], [0.500, 0.500, 0.000]]
}

---

{
  "formula": "Sc4Ni",
  "functional": "PBE",
  "state": "optimized geometry",
  "spacegroup": "I-42d",
  "vol_a3_per_cell": 225,
  "magmom_total_mub_per_cell": 0.02,
  "crystal_system": "tetragonal",
  "formation_enthalpy_0k_ev_per_atom": -0.126,
  "lattice_angstrom": [[-3.927, 3.927, 3.652], [3.927, -3.927, 3.652], [3.927, 3.927, -3.652]],
  "species": ["Sc", "Sc", "Sc", "Sc", "Sc", "Sc", "Sc", "Sc", "Ni", "Ni"],
  "fractional_positions": [[0.038, 0.813, 0.172], [0.109, 0.437, 0.725], [0.134, 0.962, 0.775], [0.187, 0.359, 0.225], [0.563, 0.288, 0.672], [0.616, 0.891, 0.328], [0.641, 0.866, 0.828], [0.712, 0.384, 0.275], [0.250, 0.750, 0.500], [0.500, 0.500, 0.000]]
}

---

{
  "formula": "Sc5Ni4",
  "functional": "PBE",
  "state": "optimized geometry",
  "spacegroup": "I4/mmm",
  "vol_a3_per_cell": 151,
  "magmom_total_mub_per_cell": 0.00,
  "crystal_system": "tetragonal",
  "formation_enthalpy_0k_ev_per_atom": -0.161,
  "lattice_angstrom": [[-4.035, 4.035, 2.325], [4.035, -4.035, 2.325], [4.035, 4.035, -2.325]],
  "species": ["Sc", "Sc", "Sc", "Sc", "Sc", "Ni", "Ni", "Ni", "Ni"],
  "fractional_positions": [[0.000, 0.000, 0.000], [0.315, 0.315, 0.631], [0.315, 0.685, 0.000], [0.685, 0.315, 0.000], [0.685, 0.685, 0.369], [0.000, 0.348, 0.348], [0.000, 0.652, 0.652], [0.348, 0.000, 0.348], [0.652, 0.000, 0.652]]
}

---

{
  "formula": "Sc3Ni",
  "functional": "PBE",
  "state": "optimized geometry",
  "spacegroup": "P-6m2",
  "vol_a3_per_cell": 86,
  "magmom_total_mub_per_cell": 0.83,
  "crystal_system": "hexagonal",
  "formation_enthalpy_0k_ev_per_atom": -0.117,
  "lattice_angstrom": [[3.365, 0.000, 0.000], [-1.682, 2.914, 0.000], [0.000, 0.000, 8.752]],
  "species": ["Sc", "Sc", "Sc", "Ni"],
  "fractional_positions": [[0.000, 0.000, 0.000], [0.333, 0.667, 0.303], [0.333, 0.667, 0.697], [0.000, 0.000, 0.500]]
}

---

{
  "formula": "Sc3Ni",
  "functional": "PBE",
  "state": "optimized geometry",
  "spacegroup": "R-3m",
  "vol_a3_per_cell": 239,
  "magmom_total_mub_per_cell": 0.00,
  "crystal_system": "trigonal",
  "formation_enthalpy_0k_ev_per_atom": 0.093,
  "lattice_angstrom": [[9.449, 0.000, 0.000], [-4.725, 8.183, 0.000], [0.000, 0.000, 3.089]],
  "species": ["Sc", "Sc", "Sc", "Sc", "Sc", "Sc", "Sc", "Sc", "Sc", "Ni", "Ni", "Ni"],
  "fractional_positions": [[0.000, 0.500, 0.000], [0.167, 0.333, 0.333], [0.167, 0.833, 0.333], [0.333, 0.167, 0.667], [0.500, 0.000, 0.000], [0.500, 0.500, 0.000], [0.667, 0.833, 0.333], [0.833, 0.167, 0.667], [0.833, 0.667, 0.667], [0.000, 0.000, 0.000], [0.333, 0.667, 0.667], [0.667, 0.333, 0.333]]
}

---

{
  "formula": "Sc4Ni3",
  "functional": "PBE",
  "state": "optimized geometry",
  "spacegroup": "P6/mmm",
  "vol_a3_per_cell": 119,
  "magmom_total_mub_per_cell": 0.00,
  "crystal_system": "hexagonal",
  "formation_enthalpy_0k_ev_per_atom": -0.219,
  "lattice_angstrom": [[5.076, 0.000, 0.000], [-2.538, 4.396, 0.000], [0.000, 0.000, 5.331]],
  "species": ["Sc", "Sc", "Sc", "Sc", "Ni", "Ni", "Ni"],
  "fractional_positions": [[0.000, 0.000, 0.243], [0.000, 0.000, 0.757], [0.333, 0.667, 0.500], [0.667, 0.333, 0.500], [0.000, 0.500, 0.000], [0.500, 0.000, 0.000], [0.500, 0.500, 0.000]]
}

---

{
  "formula": "Sc3Ni",
  "functional": "PBE",
  "state": "optimized geometry",
  "spacegroup": "Pnma",
  "vol_a3_per_cell": 329,
  "magmom_total_mub_per_cell": 0.00,
  "crystal_system": "orthorhombic",
  "formation_enthalpy_0k_ev_per_atom": -0.284,
  "lattice_angstrom": [[6.308, 0.000, 0.000], [0.000, 8.775, 0.000], [0.000, 0.000, 5.949]],
  "species": ["Sc", "Sc", "Sc", "Sc", "Sc", "Sc", "Sc", "Sc", "Sc", "Sc", "Sc", "Sc", "Ni", "Ni", "Ni", "Ni"],
  "fractional_positions": [[0.028, 0.250, 0.119], [0.185, 0.060, 0.687], [0.185, 0.440, 0.687], [0.315, 0.560, 0.187], [0.315, 0.940, 0.187], [0.472, 0.750, 0.619], [0.528, 0.250, 0.381], [0.685, 0.060, 0.813], [0.685, 0.440, 0.813], [0.815, 0.560, 0.313], [0.815, 0.940, 0.313], [0.972, 0.750, 0.881], [0.092, 0.750, 0.463], [0.408, 0.250, 0.963], [0.592, 0.750, 0.037], [0.908, 0.250, 0.537]]
}

---

{
  "formula": "ScNi2",
  "functional": "PBE",
  "state": "optimized geometry",
  "spacegroup": "I4_1/amd",
  "vol_a3_per_cell": 185,
  "magmom_total_mub_per_cell": 0.00,
  "crystal_system": "tetragonal",
  "formation_enthalpy_0k_ev_per_atom": -0.295,
  "lattice_angstrom": [[3.574, 0.000, 0.000], [0.000, 3.574, 0.000], [0.000, 0.000, 14.448]],
  "species": ["Sc", "Sc", "Sc", "Sc", "Ni", "Ni", "Ni", "Ni", "Ni", "Ni", "Ni", "Ni"],
  "fractional_positions": [[0.000, 0.250, 0.375], [0.000, 0.750, 0.625], [0.500, 0.250, 0.125], [0.500, 0.750, 0.875], [0.000, 0.250, 0.796], [0.000, 0.250, 0.954], [0.000, 0.750, 0.046], [0.000, 0.750, 0.204], [0.500, 0.250, 0.546], [0.500, 0.250, 0.704], [0.500, 0.750, 0.296], [0.500, 0.750, 0.454]]
}

---

{
  "formula": "ScNi3",
  "functional": "PBE",
  "state": "optimized geometry",
  "spacegroup": "P6_3/mmc",
  "vol_a3_per_cell": 318,
  "magmom_total_mub_per_cell": 0.00,
  "crystal_system": "hexagonal",
  "formation_enthalpy_0k_ev_per_atom": -0.435,
  "lattice_angstrom": [[4.818, 0.000, 0.000], [-2.409, 4.173, 0.000], [0.000, 0.000, 15.835]],
  "species": ["Sc", "Sc", "Sc", "Sc", "Sc", "Sc", "Ni", "Ni", "Ni", "Ni", "Ni", "Ni", "Ni", "Ni", "Ni", "Ni", "Ni", "Ni", "Ni", "Ni", "Ni", "Ni", "Ni", "Ni"],
  "fractional_positions": [[0.333, 0.667, 0.041], [0.333, 0.667, 0.250], [0.333, 0.667, 0.459], [0.667, 0.333, 0.541], [0.667, 0.333, 0.750], [0.667, 0.333, 0.959], [0.000, 0.000, 0.000], [0.000, 0.000, 0.250], [0.000, 0.000, 0.500], [0.000, 0.000, 0.750], [0.168, 0.336, 0.624], [0.168, 0.336, 0.876], [0.168, 0.832, 0.624], [0.168, 0.832, 0.876], [0.333, 0.667, 0.750], [0.336, 0.168, 0.124], [0.336, 0.168, 0.376], [0.664, 0.832, 0.624], [0.664, 0.832, 0.876], [0.667, 0.333, 0.250], [0.832, 0.168, 0.124], [0.832, 0.168, 0.376], [0.832, 0.664, 0.124], [0.832, 0.664, 0.376]]
}